MnTePO2 at its PBEsol-relaxed geometry, computed with SCAN.

Energy (eV per atom): -16.034

Lattice parameters (Å, degrees): 3.926 3.926 5.274 90.00 90.00 90.00
Site moments in Bohr magnetons follow the coordinates.
Positions (direct):
P 0.000 0.000 0.500  -0.08
Te 0.000 0.000 0.000  -0.01
O 0.000 0.500 0.000  0.01
O 0.500 0.000 0.000  0.01
Mn 0.500 0.500 0.500  4.51

Ti3MnP6O24 at its PBEsol-relaxed geometry, computed with SCAN.

Energy (eV per atom): -10.718

Lattice parameters (Å, degrees): 8.402 8.402 8.775 61.40 61.40 60.00
Site moments in Bohr magnetons follow the coordinates.
Positions (direct):
Ti 0.142 0.142 0.574  0.05
Ti 0.360 0.360 0.921  0.04
Ti 0.639 0.639 0.084  0.04
Mn 0.854 0.854 0.437  2.62
P 0.479 0.030 0.746  0.01
P 0.746 0.479 0.746  0.01
P 0.030 0.746 0.746  0.01
P 0.968 0.240 0.253  0.01
P 0.240 0.539 0.253  0.01
P 0.539 0.968 0.253  0.01
O 0.510 0.136 0.078  -0.10
O 0.136 0.276 0.078  -0.10
O 0.317 0.035 0.706  -0.05
O 0.276 0.510 0.078  -0.10
O 0.422 0.222 0.768  -0.07
O 0.674 0.009 0.587  -0.07
O 0.943 0.317 0.706  -0.05
O 0.587 0.422 0.768  -0.07
O 0.222 0.587 0.768  -0.07
O 0.991 0.247 0.412  -0.13
O 0.976 0.035 0.294  -0.07
O 0.247 0.350 0.412  -0.13
O 0.731 0.674 0.587  -0.07
O 0.035 0.943 0.706  -0.05
O 0.009 0.731 0.587  -0.07
O 0.774 0.394 0.228  -0.06
O 0.394 0.604 0.228  -0.06
O 0.035 0.695 0.294  -0.07
O 0.350 0.991 0.412  -0.13
O 0.604 0.774 0.228  -0.06
O 0.708 0.503 0.923  -0.09
O 0.695 0.976 0.294  -0.07
O 0.867 0.708 0.923  -0.09
O 0.503 0.867 0.923  -0.09

MnV5P6O24 at its PBEsol-relaxed geometry, computed with SCAN.

Energy (eV per atom): -11.330

Lattice parameters (Å, degrees): 8.315 8.315 8.315 61.87 61.87 61.87
Site moments in Bohr magnetons follow the coordinates.
Positions (direct):
P 0.751 0.044 0.455  0.02
P 0.044 0.455 0.751  0.02
P 0.455 0.751 0.044  0.02
P 0.542 0.251 0.958  0.02
P 0.958 0.542 0.251  0.02
P 0.251 0.958 0.542  0.02
Mn 0.856 0.856 0.856  4.17
O 0.883 0.500 0.681  -0.01
O 0.500 0.681 0.883  -0.01
O 0.681 0.883 0.500  -0.01
O 0.906 0.060 0.249  -0.02
O 0.825 0.015 0.603  0.03
O 0.592 0.249 0.434  -0.02
O 0.060 0.249 0.906  -0.02
O 0.249 0.434 0.592  -0.02
O 0.382 0.182 0.999  -0.02
O 0.434 0.592 0.249  -0.02
O 0.743 0.097 0.953  -0.01
O 0.999 0.382 0.182  -0.02
O 0.015 0.603 0.825  0.03
O 0.249 0.906 0.060  -0.02
O 0.561 0.406 0.752  -0.02
O 0.603 0.825 0.015  0.03
O 0.752 0.561 0.406  -0.02
O 0.953 0.743 0.097  -0.01
O 0.406 0.752 0.561  -0.02
O 0.182 0.999 0.382  -0.02
O 0.097 0.953 0.743  -0.01
O 0.336 0.111 0.487  -0.03
O 0.487 0.336 0.111  -0.03
O 0.111 0.487 0.336  -0.03
V 0.000 0.000 0.000  2.21
V 0.358 0.358 0.358  1.44
V 0.499 0.499 0.499  2.32
V 0.140 0.140 0.140  1.58
V 0.640 0.640 0.640  1.58

Mn3VP4O16 at its PBEsol-relaxed geometry, computed with SCAN.

Energy (eV per atom): -11.305

Lattice parameters (Å, degrees): 4.793 5.851 9.761 90.00 90.51 90.00
Site moments in Bohr magnetons follow the coordinates.
Positions (direct):
Mn 0.065 0.500 0.282  3.75
Mn 0.438 0.500 0.779  4.09
Mn 0.565 0.000 0.220  3.80
V 0.953 0.000 0.723  1.50
P 0.100 0.000 0.404  0.02
P 0.390 0.000 0.905  0.01
P 0.594 0.500 0.098  0.02
P 0.916 0.500 0.594  0.01
O 0.158 0.000 0.559  0.00
O 0.248 0.206 0.333  0.05
O 0.248 0.794 0.333  0.05
O 0.232 0.500 0.613  0.01
O 0.278 0.500 0.122  0.01
O 0.231 0.201 0.829  0.00
O 0.231 0.799 0.829  0.00
O 0.339 0.000 0.058  0.01
O 0.647 0.500 0.944  0.01
O 0.744 0.706 0.170  0.05
O 0.744 0.294 0.170  0.05
O 0.701 0.000 0.875  0.01
O 0.784 0.000 0.381  0.00
O 0.776 0.709 0.669  -0.01
O 0.776 0.291 0.669  -0.01
O 0.841 0.500 0.441  0.00